Entry 1:
A geometry-optimized Cs2ZnI2 structure. Source: Alexandria, functional PBE.

Results
polymorph energy (0 for the lowest one): 0.006 eV per atom
total moment: 0.000 μB/f.u.
symmetry: No. 139
DOS(E_F): 0.000 states/eV/atom
formation energy from raw total energies: -922.0 meV per atom

abc: 7.452 7.452 9.071
angles: 65.75 65.75 90.00
Positions (direct):
1 Cs 0.293 0.293 0.415
2 Cs 0.707 0.707 0.585
3 I 0.750 0.250 0.500
4 I 0.250 0.750 0.500
5 Zn 0.000 0.000 0.000



Entry 2:
A geometry-optimized YTcNi structure. Source: Alexandria, functional PBE.

Results
polymorph energy (0 for the lowest one): 0.614 eV per atom
total moment: 0.000 μB/f.u.
symmetry: No. 156
DOS(E_F): 1.290 states/eV/atom

abc: 3.163 3.163 6.273
angles: 90.00 90.00 120.00
Positions (direct):
1 Ni 0.000 0.000 0.030
2 Tc 0.667 0.333 0.302
3 Y 0.333 0.667 0.668



Entry 3:
A geometry-optimized BeCrPd2 structure. Source: Alexandria, functional PBE.

Results
total energy: -24.491 eV per cell
total moment: 1.173 μB/f.u.
symmetry: No. 123
DOS(E_F): 0.854 states/eV/atom

abc: 2.720 2.720 6.763
angles: 90.00 90.00 90.00
Each line ends with the local moment (μB).
Positions (direct):
1 Cr 0.500 0.500 0.500  1.07
2 Pd 0.000 0.000 0.782  0.04
3 Pd 0.000 0.000 0.218  0.04
4 Be 0.500 0.500 0.000  -0.01



Entry 4:
A geometry-optimized SrNiP2 structure. Source: Alexandria, functional PBE.

Results
total energy: -17.891 eV per cell
total moment: 0.000 μB/f.u.
symmetry: No. 65
DOS(E_F): 0.900 states/eV/atom

abc: 4.318 4.318 3.984
angles: 90.00 90.00 96.69
Positions (direct):
1 Ni 0.000 0.500 0.500
2 P 0.000 0.000 0.000
3 P 0.500 0.500 0.000
4 Sr 0.500 0.000 0.500



Entry 5:
A geometry-optimized Pu4Sb2Au structure. Source: Alexandria, functional PBE.

Results
total moment: 24.234 μB/f.u.
symmetry: No. 122
DOS(E_F): 4.348 states/eV/atom
formation energy from raw total energies: -476.7 meV per atom

abc: 7.970 7.970 7.970
angles: 70.37 70.61 109.39
Each line ends with the local moment (μB).
Positions (direct):
1 Pu 0.753 0.036 0.367  5.58
2 Pu 0.747 0.532 0.370  5.58
3 Pu 0.097 0.214 0.532  5.58
4 Pu 0.403 0.367 0.880  5.58
5 Pu 0.253 0.883 0.214  5.58
6 Pu 0.903 0.370 0.883  5.58
7 Pu 0.597 0.718 0.036  5.58
8 Pu 0.247 0.880 0.718  5.58
9 Sb 0.131 0.506 0.125  -0.11
10 Sb 0.631 0.125 0.744  -0.11
11 Sb 0.869 0.744 0.625  -0.11
12 Sb 0.369 0.625 0.506  -0.11
13 Au 0.500 0.250 0.250  0.11
14 Au 0.000 0.000 0.000  0.11



Entry 6:
A geometry-optimized Cs2LiZrSe4 structure. Source: Alexandria, functional PBE.

Results
total moment: 0.000 μB/f.u.
symmetry: No. 74
DOS(E_F): 0.324 states/eV/atom
formation energy from raw total energies: -1094.8 meV per atom

abc: 9.151 9.151 8.002
angles: 115.92 115.92 94.60
Positions (direct):
1 Cs 0.500 0.000 0.000
2 Cs 0.500 0.000 0.500
3 Cs 0.000 0.000 0.500
4 Cs 0.500 0.500 0.000
5 Li 0.500 0.500 0.500
6 Li 0.000 0.000 0.000
7 Zr 0.000 0.500 0.000
8 Zr 0.000 0.500 0.500
9 Se 0.197 0.692 0.944
10 Se 0.808 0.303 0.556
11 Se 0.192 0.697 0.444
12 Se 0.803 0.308 0.056
13 Se 0.795 0.705 0.928
14 Se 0.795 0.705 0.572
15 Se 0.205 0.295 0.428
16 Se 0.205 0.295 0.072



Entry 7:
A geometry-optimized Pr8Si3RhBr4 structure. Source: Alexandria, functional PBE.

Results
total moment: 0.000 μB/f.u.
symmetry: No. 12
DOS(E_F): 0.658 states/eV/atom
formation energy from raw total energies: -1044.4 meV per atom

abc: 8.593 8.915 8.596
angles: 118.84 119.99 90.00
Positions (direct):
1 Pr 0.232 0.707 0.974
2 Pr 0.233 0.708 0.467
3 Pr 0.262 0.286 0.524
4 Pr 0.742 0.707 0.974
5 Pr 0.258 0.293 0.026
6 Pr 0.738 0.714 0.476
7 Pr 0.767 0.292 0.533
8 Pr 0.768 0.293 0.026
9 Si 0.500 0.500 0.000
10 Si 0.500 0.500 0.500
11 Si 0.000 0.500 0.500
12 Rh 0.000 0.500 0.000
13 Br 0.500 0.000 0.000
14 Br 0.500 0.000 0.500
15 Br 0.000 0.000 0.000
16 Br 0.000 0.000 0.500



Entry 8:
A geometry-optimized AgH structure. Source: Alexandria, functional PBE.

Results
polymorph energy (0 for the lowest one): 0.022 eV per atom
total moment: 0.000 μB/f.u.
symmetry: No. 223
DOS(E_F): 0.014 states/eV/atom

abc: 5.510 5.510 5.510
angles: 90.00 90.00 90.00
Positions (direct):
1 Ag 0.250 0.500 0.000
2 Ag 0.750 0.500 0.000
3 Ag 0.500 0.000 0.250
4 Ag 0.500 0.000 0.750
5 Ag 0.000 0.250 0.500
6 Ag 0.000 0.750 0.500
7 H 0.250 0.000 0.500
8 H 0.750 0.000 0.500
9 H 0.000 0.500 0.250
10 H 0.000 0.500 0.750
11 H 0.500 0.250 0.000
12 H 0.500 0.750 0.000



Entry 9:
A geometry-optimized PuPa2PN5 structure. Source: Alexandria, functional PBE.

Results
total moment: 4.912 μB/f.u.
symmetry: No. 127
DOS(E_F): 1.113 states/eV/atom
formation energy from raw total energies: -1018.4 meV per atom

abc: 5.426 6.586 6.586
angles: 90.00 90.00 90.00
Each line ends with the local moment (μB).
Positions (direct):
1 Pu 0.000 0.500 0.500  5.15
2 Pu 0.000 0.000 0.000  5.15
3 Pa 0.500 0.677 0.177  -0.01
4 Pa 0.500 0.177 0.323  -0.01
5 Pa 0.500 0.823 0.677  -0.01
6 Pa 0.500 0.323 0.823  -0.01
7 P 0.000 0.000 0.500  -0.06
8 P 0.000 0.500 0.000  -0.06
9 N 0.500 0.500 0.500  -0.05
10 N 0.500 0.000 0.000  -0.05
11 N 0.234 0.138 0.638  -0.04
12 N 0.234 0.862 0.362  -0.04
13 N 0.234 0.362 0.138  -0.04
14 N 0.234 0.638 0.862  -0.04
15 N 0.766 0.138 0.638  -0.04
16 N 0.766 0.638 0.862  -0.04
17 N 0.766 0.862 0.362  -0.04
18 N 0.766 0.362 0.138  -0.04



Entry 10:
A geometry-optimized InOs2Ru structure. Source: Alexandria, functional PBE.

Results
total energy: -32.642 eV per cell
total moment: 0.000 μB/f.u.
symmetry: No. 47
DOS(E_F): 1.154 states/eV/atom

abc: 2.785 3.882 5.850
angles: 90.00 90.00 90.00
Positions (direct):
1 In 0.500 0.500 0.750
2 Os 0.000 0.000 0.029
3 Os 0.000 0.000 0.471
4 Ru 0.500 0.500 0.250



Entry 11:
A geometry-optimized LaNdSnAu structure. Source: Alexandria, functional PBE.

Results
total energy: -19.891 eV per cell
total moment: 0.894 μB/f.u.
symmetry: No. 216
DOS(E_F): 0.704 states/eV/atom

abc: 5.443 5.443 5.443
angles: 60.00 60.00 60.00
Each line ends with the local moment (μB).
Positions (direct):
1 Nd 0.000 0.000 0.000  0.23
2 Au 0.750 0.750 0.750  0.04
3 Sn 0.250 0.250 0.250  -0.03
4 La 0.500 0.500 0.500  0.18



Entry 12:
A geometry-optimized MgH2Pt2 structure. Source: Alexandria, functional PBE.

Results
polymorph energy (0 for the lowest one): 0.091 eV per atom
total moment: 0.000 μB/f.u.
symmetry: No. 139
DOS(E_F): 0.298 states/eV/atom

abc: 3.346 3.346 5.454
angles: 72.14 72.14 90.00
Positions (direct):
1 H 0.750 0.250 0.500
2 H 0.250 0.750 0.500
3 Mg 0.000 0.000 0.000
4 Pt 0.353 0.353 0.293
5 Pt 0.647 0.647 0.707



Entry 13:
A geometry-optimized LiCaSm structure. Source: Alexandria, functional PBE.

Results
polymorph energy (0 for the lowest one): 0.000 eV per atom
total moment: 0.000 μB/f.u.
symmetry: No. 11
DOS(E_F): 0.912 states/eV/atom

abc: 3.707 5.690 9.113
angles: 90.00 101.75 90.00
Positions (direct):
1 Li 0.072 0.250 0.645
2 Li 0.928 0.750 0.355
3 Ca 0.410 0.250 0.321
4 Ca 0.590 0.750 0.679
5 Sm 0.724 0.250 0.949
6 Sm 0.276 0.750 0.051



Entry 14:
A geometry-optimized ZrSiPd2O structure. Source: Alexandria, functional PBE.

Results
total moment: 0.000 μB/f.u.
symmetry: No. 123
DOS(E_F): 1.312 states/eV/atom
formation energy from raw total energies: 292.8 meV per atom

abc: 4.327 5.231 4.327
angles: 90.00 90.00 90.00
Positions (direct):
1 O 0.500 0.500 0.500
2 Si 0.000 0.000 0.000
3 Zr 0.000 0.500 0.000
4 Pd 0.000 0.000 0.500
5 Pd 0.500 0.000 0.000



Entry 15:
A geometry-optimized ZnMoP2 structure. Source: Alexandria, functional PBE.

Results
total energy: -22.131 eV per cell
total moment: 0.627 μB/f.u.
symmetry: No. 139
DOS(E_F): 1.035 states/eV/atom

abc: 4.487 4.487 4.487
angles: 125.88 125.88 80.08
Each line ends with the local moment (μB).
Positions (direct):
1 Mo 0.750 0.250 0.500  0.46
2 P 0.000 0.000 0.000  0.02
3 P 0.500 0.500 0.000  0.02
4 Zn 0.250 0.750 0.500  0.01



Entry 16:
A geometry-optimized Pr4Dy3TmTe8 structure. Source: Alexandria, functional PBE.

Results
total moment: 0.000 μB/f.u.
symmetry: No. 166
DOS(E_F): 0.662 states/eV/atom
formation energy from raw total energies: -1350.3 meV per atom

abc: 8.741 9.014 8.741
angles: 119.01 120.00 90.00
Positions (direct):
1 Pr 0.500 0.000 0.000
2 Pr 0.500 0.000 0.500
3 Pr 0.000 0.000 0.000
4 Pr 0.000 0.000 0.500
5 Dy 0.500 0.500 0.000
6 Dy 0.500 0.500 0.500
7 Dy 0.000 0.500 0.500
8 Tm 0.000 0.500 0.000
9 Te 0.243 0.733 0.990
10 Te 0.243 0.733 0.486
11 Te 0.255 0.265 0.510
12 Te 0.747 0.733 0.990
13 Te 0.253 0.267 0.010
14 Te 0.745 0.735 0.490
15 Te 0.757 0.267 0.514
16 Te 0.757 0.267 0.010



Entry 17:
A geometry-optimized Cu5Ni3Cl12 structure. Source: Alexandria, functional PBE.

Results
total moment: 1.305 μB/f.u.
symmetry: No. 230
DOS(E_F): 1.213 states/eV/atom
formation energy from raw total energies: -305.7 meV per atom

abc: 12.906 12.906 12.906
angles: 109.47 109.47 109.47
Each line ends with the local moment (μB).
Positions (direct):
1 Ni 0.750 0.375 0.125  0.26
2 Ni 0.875 0.750 0.125  0.26
3 Ni 0.375 0.750 0.625  0.26
4 Ni 0.250 0.125 0.375  0.26
5 Ni 0.875 0.125 0.250  0.26
6 Ni 0.375 0.625 0.250  0.26
7 Ni 0.625 0.375 0.750  0.26
8 Ni 0.125 0.875 0.750  0.26
9 Ni 0.750 0.875 0.625  0.26
10 Ni 0.625 0.250 0.375  0.26
11 Ni 0.125 0.250 0.875  0.26
12 Ni 0.250 0.625 0.875  0.26
13 Cu 0.125 0.375 0.250  0.09
14 Cu 0.000 0.500 0.000  0.02
15 Cu 0.000 0.000 0.000  0.02
16 Cu 0.375 0.250 0.125  0.09
17 Cu 0.500 0.000 0.500  0.02
18 Cu 0.500 0.500 0.000  0.02
19 Cu 0.125 0.750 0.375  0.09
20 Cu 0.750 0.125 0.875  0.09
21 Cu 0.750 0.625 0.375  0.09
22 Cu 0.375 0.125 0.750  0.09
23 Cu 0.625 0.875 0.250  0.09
24 Cu 0.500 0.500 0.500  0.02
25 Cu 0.500 0.000 0.000  0.02
26 Cu 0.000 0.000 0.500  0.02
27 Cu 0.250 0.375 0.625  0.09
28 Cu 0.250 0.875 0.125  0.09
29 Cu 0.000 0.500 0.500  0.02
30 Cu 0.875 0.250 0.625  0.09
31 Cu 0.625 0.750 0.875  0.09
32 Cu 0.875 0.625 0.750  0.09
33 Cl 0.619 0.175 0.976  0.02
34 Cl 0.356 0.476 0.301  0.02
35 Cl 0.024 0.325 0.381  0.02
36 Cl 0.476 0.119 0.175  0.02
37 Cl 0.444 0.619 0.644  0.02
38 Cl 0.024 0.699 0.144  0.02
39 Cl 0.356 0.881 0.556  0.02
40 Cl 0.199 0.056 0.175  0.02
41 Cl 0.699 0.024 0.644  0.02
42 Cl 0.619 0.444 0.144  0.02
43 Cl 0.881 0.524 0.325  0.02
44 Cl 0.856 0.801 0.976  0.02
45 Cl 0.175 0.619 0.476  0.02
46 Cl 0.325 0.301 0.944  0.02
47 Cl 0.944 0.801 0.325  0.02
48 Cl 0.556 0.175 0.699  0.02
49 Cl 0.944 0.144 0.119  0.02
50 Cl 0.524 0.644 0.199  0.02
51 Cl 0.856 0.056 0.381  0.02
52 Cl 0.175 0.556 0.199  0.02
53 Cl 0.325 0.024 0.881  0.02
54 Cl 0.699 0.675 0.556  0.02
55 Cl 0.801 0.856 0.476  0.02
56 Cl 0.881 0.356 0.056  0.02
57 Cl 0.301 0.325 0.444  0.02
58 Cl 0.199 0.144 0.524  0.02
59 Cl 0.119 0.644 0.944  0.02
60 Cl 0.144 0.944 0.619  0.02
61 Cl 0.675 0.976 0.119  0.02
62 Cl 0.825 0.444 0.801  0.02
63 Cl 0.476 0.356 0.801  0.02
64 Cl 0.444 0.825 0.301  0.02
65 Cl 0.056 0.856 0.881  0.02
66 Cl 0.056 0.199 0.675  0.02
67 Cl 0.825 0.381 0.524  0.02
68 Cl 0.144 0.199 0.024  0.02
69 Cl 0.675 0.699 0.056  0.02
70 Cl 0.301 0.976 0.356  0.02
71 Cl 0.381 0.556 0.856  0.02
72 Cl 0.119 0.476 0.675  0.02
73 Cl 0.801 0.944 0.825  0.02
74 Cl 0.644 0.119 0.444  0.02
75 Cl 0.524 0.881 0.825  0.02
76 Cl 0.976 0.301 0.856  0.02
77 Cl 0.556 0.381 0.356  0.02
78 Cl 0.976 0.675 0.619  0.02
79 Cl 0.644 0.524 0.699  0.02
80 Cl 0.381 0.825 0.024  0.02